1.
Density functional theory data (PBE) for crystalline Fe2CuAg at its relaxed geometry.

```
Fe2CuAg
1.0
3.794 0.000 0.000
0.000 2.632 0.410
0.000 1.775 5.726
Cu Fe Ag
1 2 1
Direct
0.500 0.750 0.750
0.000 0.026 0.973
0.000 0.474 0.527
0.500 0.250 0.250
```

## Properties
As for the space group: P2/m. The density of states at the Fermi level is 3.397 states/eV/f.u. The calculation puts the energy above the most stable polymorph in this dataset at 0.372 eV per formula unit. Its calculated formation energy is 0.313 eV/atom.



2.
Density functional theory data (PBE) for crystalline Fe2CuAg at its relaxed geometry.

```
Fe2CuAg
1.0
8.526 -0.110 -0.065
8.117 2.612 -0.065
8.117 1.220 2.310
Cu Ag Fe
1 1 2
Direct
0.743 0.743 0.743
0.500 0.500 0.500
0.997 0.997 0.997
0.259 0.259 0.259
```

## Properties
As for the space group: R3m. The density of states at the Fermi level is 4.072 states/eV/f.u. The calculation puts the energy above the most stable polymorph in this dataset at 0.218 eV per formula unit. Its calculated formation energy is 0.275 eV/atom.



3.
Density functional theory data (PBE) for crystalline FeCuAg at its relaxed geometry.

```
FeCuAg
1.0
-1.365 -0.018 -4.539
-1.842 -3.887 -1.990
-0.335 3.230 3.452
Fe Cu Ag
1 1 1
Direct
0.675 0.675 0.000
0.326 0.326 0.000
0.999 0.999 0.000
```

## Properties
As for the space group: Imm2. The density of states at the Fermi level is 2.055 states/eV/f.u. The calculation puts the energy above the most stable polymorph in this dataset at 0.482 eV per formula unit. Its calculated formation energy is 0.313 eV/atom.



4.
Density functional theory data (PBE) for crystalline Fe2CuAg at its relaxed geometry.

```
Fe2CuAg
1.0
2.990 0.000 0.000
0.000 2.991 0.000
0.000 0.000 6.072
Fe Cu Ag
2 1 1
Direct
0.500 0.500 0.213
0.000 0.000 0.009
0.500 0.500 0.776
0.000 0.000 0.502
```

## Properties
As for the space group: P4mm. The density of states at the Fermi level is 3.870 states/eV/f.u. The calculation puts the energy above the most stable polymorph in this dataset at 0.026 eV per formula unit. Its calculated formation energy is 0.227 eV/atom.



5.
Density functional theory data (PBE) for crystalline FeCuAg at its relaxed geometry.

```
FeCuAg
1.0
2.927 0.000 0.000
0.000 2.927 0.000
0.000 0.000 9.825
Cu Ag Fe
2 2 2
Direct
0.500 0.000 0.714
0.000 0.500 0.286
0.000 0.500 0.894
0.500 0.000 0.106
0.000 0.500 0.565
0.500 0.000 0.435
```

## Properties
As for the space group: P4/nmm. The density of states at the Fermi level is 2.280 states/eV/f.u. The calculation puts the energy above the most stable polymorph in this dataset at 0.000 eV per formula unit. Its calculated formation energy is 0.153 eV/atom.



6.
Density functional theory data (PBE) for crystalline FeCu2AgH at its relaxed geometry.

```
FeCu2AgH
1.0
3.962 0.000 0.000
0.000 3.583 0.000
0.000 0.000 3.962
H Cu Ag Fe
1 2 1 1
Direct
0.000 0.000 0.000
0.000 0.000 0.500
0.500 0.000 0.000
0.500 0.500 0.500
0.000 0.500 0.000
```

## Properties
As for the space group: P4/mmm. The density of states at the Fermi level is 3.566 states/eV/f.u. Its electronic total energy is -21.60 eV/cell.